{
  "formula": "Ta2HgPt",
  "functional": "PBEsol",
  "state": "relaxed",
  "space_group": "Cmmm",
  "final_energy_ev_per_atom": -8.27,
  "lattice": [[2.8294, 0.0000, 0.0000], [0.0000, 5.0702, -0.0051], [0.0000, -1.7768, 4.7486]],
  "species": ["Hg", "Pt", "Ta", "Ta"],
  "fractional_positions": [[0.5000, 0.0000, 0.0000], [0.5000, 0.5000, 0.5000], [0.0000, 0.5000, 0.0000], [0.0000, 0.0000, 0.5000]]
}

{
  "formula": "TcHgPt2",
  "functional": "PBEsol",
  "state": "relaxed",
  "space_group": "Cmmm",
  "final_energy_ev_per_atom": -6.28,
  "lattice": [[2.7667, 0.0000, 0.0000], [0.0000, 4.9225, -0.0118], [0.0000, -1.7472, 4.6020]],
  "species": ["Hg", "Pt", "Pt", "Tc"],
  "fractional_positions": [[0.5000, 0.5000, 0.5000], [0.0000, 0.5000, 0.0000], [0.0000, 0.0000, 0.5000], [0.5000, 0.0000, 0.0000]]
}

{
  "formula": "TcHgPt",
  "functional": "PBEsol",
  "state": "relaxed",
  "space_group": "I4mm",
  "de_polymorph_mev_per_atom": 0.0,
  "final_energy_ev_per_atom": -6.12,
  "lattice": [[-2.5130, -0.1968, -1.2232], [1.1893, -1.1584, -2.2570], [-0.1019, -4.9172, 4.2092]],
  "species": ["Hg", "Pt", "Tc"],
  "fractional_positions": [[0.9977, 0.9977, 0.9953], [0.6805, 0.6805, 0.3610], [0.3218, 0.3218, 0.6437]]
}

{
  "formula": "TcHgPt2",
  "functional": "PBEsol",
  "state": "relaxed",
  "space_group": "Pmm2",
  "final_energy_ev_per_atom": -6.30,
  "lattice": [[-1.3871, 0.3571, 2.3524], [3.2280, -2.3070, 2.2535], [2.4847, 4.2741, 0.8163]],
  "species": ["Hg", "Pt", "Pt", "Tc"],
  "fractional_positions": [[0.5000, 0.5000, 0.2138], [0.0000, 0.0000, 0.0255], [0.0000, 0.5000, 0.7048], [0.5000, 0.0000, 0.5559]]
}

{
  "formula": "TcHgPt",
  "functional": "PBEsol",
  "state": "relaxed",
  "space_group": "P3m1",
  "de_polymorph_mev_per_atom": 61.4,
  "final_energy_ev_per_atom": -6.06,
  "lattice": [[2.8372, 0.0000, 0.0000], [-1.4186, 2.4571, 0.0000], [0.0000, 0.0000, 6.9203]],
  "species": ["Hg", "Pt", "Tc"],
  "fractional_positions": [[0.0000, 0.0000, 0.0017], [0.3333, 0.6667, 0.6480], [0.6667, 0.3333, 0.3502]]
}

{
  "formula": "HgTe2PtW",
  "functional": "PBEsol",
  "state": "relaxed",
  "space_group": "P4/mmm",
  "final_energy_ev_per_atom": -4.50,
  "formation_energy_uncorrected_ev_per_atom": 1.177,
  "lattice": [[5.0865, 0.0000, 0.0000], [0.0000, 5.0865, 0.0000], [0.0000, 0.0000, 5.2048]],
  "species": ["W", "Te", "Te", "Hg", "Pt"],
  "fractional_positions": [[0.0000, 0.0000, 0.0000], [0.0000, 0.5000, 0.0000], [0.5000, 0.0000, 0.0000], [0.0000, 0.0000, 0.5000], [0.5000, 0.5000, 0.5000]]
}

{
  "formula": "Tl2HgPt",
  "functional": "PBEsol",
  "state": "relaxed",
  "space_group": "Amm2",
  "de_polymorph_mev_per_atom": 17.9,
  "final_energy_ev_per_atom": -3.17,
  "lattice": [[-1.5809, -3.3159, -0.3469], [2.6443, -1.5418, 2.6873], [-5.2568, 2.1584, 3.3241]],
  "species": ["Tl", "Tl", "Hg", "Pt"],
  "fractional_positions": [[0.0000, 0.1149, 0.2297], [0.5000, 0.4247, 0.8493], [0.0000, 0.8181, 0.6362], [0.5000, 0.6472, 0.2944]]
}

{
  "formula": "TlHg2Pt",
  "functional": "PBEsol",
  "state": "relaxed",
  "space_group": "Pmmm",
  "de_polymorph_mev_per_atom": 63.6,
  "final_energy_ev_per_atom": -2.52,
  "lattice": [[3.0113, 0.0000, 0.0000], [0.0000, 5.2069, 0.0000], [0.0000, 0.0000, 5.2602]],
  "species": ["Hg", "Hg", "Pt", "Tl"],
  "fractional_positions": [[0.0000, 0.0000, 0.0000], [0.5000, 0.0000, 0.5000], [0.5000, 0.5000, 0.0000], [0.0000, 0.5000, 0.5000]]
}